AcRhO2 | GGA-PBE | relaxed

Computed properties:
SG: R-3m
Raw total energy in eV per atom: -6.2577

```
AcRhO2
1.0
3.5872 0.0000 0.0000
-1.7936 3.1066 0.0000
0.0000 0.0000 18.4460
Ac Rh O
3 3 6
Direct
0.0000 0.0000 0.0000 Ac
0.3333 0.6667 0.6667 Ac
0.6667 0.3333 0.3333 Ac
0.0000 0.0000 0.5000 Rh
0.3333 0.6667 0.1667 Rh
0.6667 0.3333 0.8333 Rh
0.0000 0.0000 0.1275 O
0.0000 0.0000 0.8725 O
0.3333 0.6667 0.5392 O
0.3333 0.6667 0.7941 O
0.6667 0.3333 0.2059 O
0.6667 0.3333 0.4608 O
```

=====

AcRh2O6 | GGA-PBE | relaxed

Computed properties:
SG: P-31m
Raw total energy in eV per atom: -6.8548

```
AcRh2O6
1.0
5.2980 0.0000 0.0000
-2.6490 4.5882 0.0000
0.0000 0.0000 5.2969
Ac Rh O
1 2 6
Direct
0.0000 0.0000 0.0000 Ac
0.3333 0.6667 0.5000 Rh
0.6667 0.3333 0.5000 Rh
0.0000 0.3743 0.7065 O
0.0000 0.6257 0.2935 O
0.3743 0.0000 0.7065 O
0.3743 0.3743 0.2935 O
0.6257 0.0000 0.2935 O
0.6257 0.6257 0.7065 O
```

=====

Ac3RhO7 | GGA-PBE | relaxed

Computed properties:
SG: Cmcm
Raw total energy in eV per atom: -7.4585

```
Ac3RhO7
1.0
5.8307 -3.8255 0.0000
5.8307 3.8255 0.0000
0.0000 0.0000 7.8657
Ac Rh O
6 2 14
Direct
0.0000 0.0000 0.0000 Ac
0.0000 0.0000 0.5000 Ac
0.1089 0.4597 0.7500 Ac
0.4597 0.1089 0.2500 Ac
0.5403 0.8911 0.7500 Ac
0.8911 0.5403 0.2500 Ac
0.5000 0.5000 0.0000 Rh
0.5000 0.5000 0.5000 Rh
0.0950 0.1652 0.2500 O
0.1652 0.0950 0.7500 O
0.1979 0.5563 0.0424 O
0.1979 0.5563 0.4576 O
0.4156 0.5844 0.7500 O
0.4437 0.8021 0.0424 O
0.4437 0.8021 0.4576 O
0.5563 0.1979 0.5424 O
0.5563 0.1979 0.9576 O
0.5844 0.4156 0.2500 O
0.8021 0.4437 0.5424 O
0.8021 0.4437 0.9576 O
0.8348 0.9050 0.2500 O
0.9050 0.8348 0.7500 O
```

=====

AcRhO6 | GGA-PBE | relaxed

Computed properties:
SG: R-3m
Raw total energy in eV per atom: -6.0935

```
AcRhO6
1.0
3.5614 2.0562 2.3497
-3.5614 2.0562 2.3497
0.0000 -4.1124 2.3497
Ac Rh O
1 1 6
Direct
0.0000 0.0000 0.0000 Ac
0.5000 0.5000 0.5000 Rh
0.2150 0.2150 0.5855 O
0.2150 0.5855 0.2150 O
0.4145 0.7850 0.7850 O
0.5855 0.2150 0.2150 O
0.7850 0.4145 0.7850 O
0.7850 0.7850 0.4145 O
```

=====

AcRh4O8 | GGA-PBE | relaxed

Computed properties:
SG: R-3m
Raw total energy in eV per atom: -6.8442

```
AcRh4O8
1.0
3.1307 1.8075 5.6289
-3.1307 1.8075 5.6289
0.0000 -3.6150 5.6289
Ac Rh O
1 4 8
Direct
0.0000 0.0000 0.0000 Ac
0.0000 0.0000 0.5000 Rh
0.0000 0.5000 0.0000 Rh
0.5000 0.0000 0.0000 Rh
0.5000 0.5000 0.5000 Rh
0.2214 0.2214 0.2214 O
0.2286 0.7268 0.7268 O
0.2732 0.2732 0.7714 O
0.2732 0.7714 0.2732 O
0.7268 0.2286 0.7268 O
0.7268 0.7268 0.2286 O
0.7714 0.2732 0.2732 O
0.7786 0.7786 0.7786 O
```

=====

Ac3Rh2O | GGA-PBE | relaxed

Computed properties:
SG: C2/c
Raw total energy in eV per atom: -6.5964

```
Ac3Rh2O
1.0
6.6332 -2.9888 0.0000
6.6332 2.9888 0.0000
-2.5515 0.0000 7.8310
Ac Rh O
6 4 2
Direct
0.0291 0.9709 0.7500 Ac
0.3468 0.3468 0.4230 Ac
0.3468 0.3468 0.9230 Ac
0.6532 0.6532 0.0770 Ac
0.6532 0.6532 0.5770 Ac
0.9709 0.0291 0.2500 Ac
0.1653 0.1669 0.0829 Rh
0.1669 0.1653 0.5829 Rh
0.8331 0.8347 0.4171 Rh
0.8347 0.8331 0.9171 Rh
0.4558 0.5442 0.7500 O
0.5442 0.4558 0.2500 O
```

=====

Ac2RhO | GGA-PBE | relaxed

Computed properties:
SG: Pnma
Raw total energy in eV per atom: -6.6148

```
Ac2RhO
1.0
7.0345 0.0000 0.0000
0.0000 3.7336 0.0000
0.0000 0.0000 15.0716
Ac Rh O
8 4 4
Direct
0.1545 0.2500 0.1913 Ac
0.2502 0.2500 0.4614 Ac
0.2498 0.7500 0.9614 Ac
0.3455 0.7500 0.6913 Ac
0.6545 0.2500 0.3087 Ac
0.7502 0.2500 0.0386 Ac
0.7498 0.7500 0.5386 Ac
0.8455 0.7500 0.8087 Ac
0.0213 0.2500 0.6500 Rh
0.4787 0.7500 0.1500 Rh
0.5213 0.2500 0.8500 Rh
0.9787 0.7500 0.3500 Rh
0.0104 0.2500 0.9189 O
0.4896 0.7500 0.4189 O
0.5104 0.2500 0.5811 O
0.9896 0.7500 0.0811 O
```

=====

Ac3RhO | GGA-PBE | relaxed

Computed properties:
SG: Pm-3m
Raw total energy in eV per atom: -5.9276

```
Ac3RhO
1.0
5.1792 0.0000 0.0000
0.0000 5.1792 0.0000
0.0000 0.0000 5.1792
Ac Rh O
3 1 1
Direct
0.0000 0.0000 0.5000 Ac
0.0000 0.5000 0.0000 Ac
0.5000 0.0000 0.0000 Ac
0.5000 0.5000 0.5000 Rh
0.0000 0.0000 0.0000 O
```

=====

AcRh7O12 | GGA-PBE | relaxed

Computed properties:
SG: Im-3
Raw total energy in eV per atom: -6.7162

```
AcRh7O12
1.0
-3.8568 3.8568 3.8568
3.8568 -3.8568 3.8568
3.8568 3.8568 -3.8568
Ac Rh O
1 7 12
Direct
0.0000 0.0000 0.0000 Ac
0.0000 0.0000 0.5000 Rh
0.0000 0.5000 0.0000 Rh
0.0000 0.5000 0.5000 Rh
0.5000 0.0000 0.0000 Rh
0.5000 0.0000 0.5000 Rh
0.5000 0.5000 0.0000 Rh
0.5000 0.5000 0.5000 Rh
0.1343 0.8257 0.3085 O
0.1743 0.3085 0.4828 O
0.1743 0.6915 0.8657 O
0.3085 0.1343 0.8257 O
0.3085 0.4828 0.1743 O
0.4828 0.1743 0.3085 O
0.5172 0.8257 0.6915 O
0.6915 0.5172 0.8257 O
0.6915 0.8657 0.1743 O
0.8257 0.3085 0.1343 O
0.8257 0.6915 0.5172 O
0.8657 0.1743 0.6915 O
```

=====

Ac2RhO | GGA-PBE | relaxed

Computed properties:
SG: R-3m
Raw total energy in eV per atom: -6.6346

```
Ac2RhO
1.0
4.0715 0.0000 0.0000
-2.0357 3.5260 0.0000
0.0000 0.0000 20.6566
Ac Rh O
6 3 3
Direct
0.0000 0.0000 0.2440 Ac
0.0000 0.0000 0.7560 Ac
0.3333 0.6667 0.4227 Ac
0.3333 0.6667 0.9107 Ac
0.6667 0.3333 0.0893 Ac
0.6667 0.3333 0.5773 Ac
0.0000 0.0000 0.0000 Rh
0.3333 0.6667 0.6667 Rh
0.6667 0.3333 0.3333 Rh
0.0000 0.0000 0.5000 O
0.3333 0.6667 0.1667 O
0.6667 0.3333 0.8333 O
```

=====

AcRh2O8 | GGA-PBE | relaxed

Computed properties:
SG: P4/mmm
Raw total energy in eV per atom: -6.0097

```
AcRh2O8
1.0
4.8301 0.0000 0.0000
0.0000 4.8301 0.0000
0.0000 0.0000 6.1223
Ac Rh O
1 2 8
Direct
0.0000 0.0000 0.0000 Ac
0.0000 0.5000 0.5000 Rh
0.5000 0.0000 0.5000 Rh
0.2533 0.2533 0.3076 O
0.2533 0.2533 0.6924 O
0.2533 0.7467 0.3076 O
0.2533 0.7467 0.6924 O
0.7467 0.2533 0.3076 O
0.7467 0.2533 0.6924 O
0.7467 0.7467 0.3076 O
0.7467 0.7467 0.6924 O
```

=====

Ac2RhO | GGA-PBE | relaxed

Computed properties:
SG: R3m
Raw total energy in eV per atom: -6.5491

```
Ac2RhO
1.0
4.1016 0.0000 0.0000
-2.0508 3.5521 0.0000
0.0000 0.0000 24.1388
Ac Rh O
6 3 3
Direct
0.0000 0.0000 0.0000 Ac
0.0000 0.0000 0.1756 Ac
0.3333 0.6667 0.6667 Ac
0.3333 0.6667 0.8423 Ac
0.6667 0.3333 0.3333 Ac
0.6667 0.3333 0.5089 Ac
0.0000 0.0000 0.6036 Rh
0.3333 0.6667 0.2703 Rh
0.6667 0.3333 0.9369 Rh
0.0000 0.0000 0.8127 O
0.3333 0.6667 0.4794 O
0.6667 0.3333 0.1461 O
```

=====

One value per record, in order, for uncorrected formation energy: -0.91; -1.46; -2.51; -0.94; -1.21; -1.27; -1.48; -1.00; -0.96; -1.50; -0.69; -1.42 eV per atom.